Entry 1:
DFT (PBEsol) results for crystalline KHO at its relaxed geometry.

Results
Its density is 2.36 g cm⁻³. The value obtained for the density of states at the Fermi level is 0.0 states/eV/cell. Its electronic total energy is -0.168 Ha/atom.

a = 3.9245 Å, b = 10.2055 Å, c = 3.9359 Å
α = 90.00°, β = 90.00°, γ = 90.00°
Closest atoms and distances in Å follow each position.
Space group Cmc2_1 (No. 36)
Symmetry-distinct sites (fractional):
K 0.0000 0.1394 0.0000 x4  4 H 2.65-2.67, 5 O 2.67-2.88
H 0.0000 0.4718 0.1527 x4  1 O 1.00
O 0.0000 0.4012 0.9764 x4  1 H 1.00

Entry 2:
DFT (PBEsol) results for crystalline KH9O5 at its relaxed geometry.

Results
Its density is 1.63 g cm⁻³. The value obtained for the density of states at the Fermi level is 0.0 states/eV/cell. Its electronic total energy is -0.182 Ha/atom.

a = 7.0206 Å, b = 10.6609 Å, c = 7.0564 Å
α = 90.00°, β = 97.94°, γ = 90.00°
Closest atoms and distances in Å follow each position.
Space group P2_1/c (No. 14)
Symmetry-distinct sites (fractional):
K 0.0917 0.1561 0.1472 x4  5 O 2.66-2.93, 2 H 2.68-2.75
H 0.0328 0.6068 0.8479 x4  1 O 1.01
H 0.1743 0.0519 0.7384 x4  1 O 0.99
H 0.2418 0.7443 0.0429 x4  1 O 1.01
H 0.2426 0.6025 0.1103 x4  1 O 1.01
H 0.3824 0.1050 0.5690 x4  1 O 1.02
H 0.3974 0.5906 0.4018 x4  1 O 1.03
H 0.4517 0.2364 0.4757 x4  1 O 1.01
H 0.4641 0.5872 0.6319 x4  1 O 1.03
H 0.4956 0.0584 0.3367 x4  1 O 1.00
O 0.0484 0.0785 0.7734 x4  2 H 0.99-1.01
O 0.1534 0.6699 0.0498 x4  2 H 1.01
O 0.3580 0.1641 0.4546 x4  2 H 1.01-1.02
O 0.3987 0.6437 0.5240 x4  2 H 1.03
O 0.4120 0.5052 0.2244 x4  1 H 1.00

Entry 3:
DFT (PBEsol) results for crystalline KHO at its relaxed geometry.

Results
Its density is 2.37 g cm⁻³. The value obtained for the density of states at the Fermi level is 0.0 states/eV/cell. Its electronic total energy is -0.168 Ha/atom.

a = 5.4813 Å, b = 3.9332 Å, c = 7.8481 Å
α = 90.00°, β = 111.37°, γ = 90.00°
Closest atoms and distances in Å follow each position.
Space group P2_1/c (No. 14)
Symmetry-distinct sites (fractional):
K 0.2209 0.2488 0.4309 x4  4 H 2.64-2.69, 5 O 2.67-2.88
H 0.4440 0.5957 0.7362 x4  1 O 1.00
O 0.3023 0.7284 0.2032 x4  1 H 1.00

Entry 4:
DFT (PBEsol) results for crystalline K3HO at its relaxed geometry.

Results
Its density is 2.08 g cm⁻³. The value obtained for the density of states at the Fermi level is 0.0 states/eV/cell. Its electronic total energy is -0.101 Ha/atom.

a = 4.7494 Å, b = 4.7494 Å, c = 4.7494 Å
α = 90.00°, β = 90.00°, γ = 90.00°
Closest atoms and distances in Å follow each position.
Space group Pm-3m (No. 221)
Symmetry-distinct sites (fractional):
K 0.0000 0.0000 0.5000 x3  2 H 2.37
H 0.0000 0.0000 0.0000 x1  6 K 2.37
O 0.5000 0.5000 0.5000 x1  12 K 3.36

Entry 5:
DFT (PBEsol) results for crystalline KHO2 at its relaxed geometry.

Results
Its density is 2.40 g cm⁻³. The value obtained for the density of states at the Fermi level is 8.7 states/eV/cell. Its electronic total energy is -0.111 Ha/atom.

a = 5.8453 Å, b = 5.8453 Å, c = 5.8453 Å
α = 90.00°, β = 90.00°, γ = 90.00°
Closest atoms and distances in Å follow each position.
Space group Fm-3m (No. 225)
Symmetry-distinct sites (fractional):
K 0.0000 0.0000 0.0000 x4  8 O 2.53
H 0.0000 0.0000 0.5000 x4  8 O 2.53
O 0.2500 0.2500 0.2500 x8  4 H 2.53, 4 K 2.53

Entry 6:
DFT (PBEsol) results for crystalline KHO3 at its relaxed geometry.

Results
Its density is 0.93 g cm⁻³. The value obtained for the density of states at the Fermi level is 5.2 states/eV/cell. Its electronic total energy is -0.093 Ha/atom.

a = 5.3990 Å, b = 5.3990 Å, c = 5.3990 Å
α = 90.00°, β = 90.00°, γ = 90.00°
Closest atoms and distances in Å follow each position.
Space group Pm-3m (No. 221)
Symmetry-distinct sites (fractional):
K 0.0000 0.0000 0.0000 x1  6 O 2.70
H 0.5000 0.5000 0.5000 x1  12 O 3.82
O 0.0000 0.0000 0.5000 x3  2 K 2.70

Entry 7:
DFT (PBEsol) results for crystalline KPHO3 at its relaxed geometry.

Results
Its density is 2.18 g cm⁻³. The value obtained for the density of states at the Fermi level is 0.0 states/eV/cell. Its electronic total energy is -0.228 Ha/atom.

a = 8.2872 Å, b = 8.2888 Å, c = 10.7185 Å
α = 81.38°, β = 85.33°, γ = 88.12°
Closest atoms and distances in Å follow each position.
Space group P-1 (No. 2)
Symmetry-distinct sites (fractional):
K 0.0884 0.1862 0.0740 x2  6 O 2.66-2.95, 1 H 2.76
K 0.2085 0.3909 0.4179 x2  5 O 2.70-2.77, 2 H 2.86-2.87
K 0.2689 0.7920 0.5480 x2  4 O 2.59-2.88, 1 H 2.85
K 0.3168 0.7196 0.0513 x2  4 O 2.62-2.80, 2 H 2.82-2.86
P 0.0153 0.7864 0.2864 x2  4 O 1.49-1.64
P 0.1317 0.4979 0.8008 x2  4 O 1.49-1.64
P 0.2869 0.0405 0.7855 x2  4 O 1.49-1.63
P 0.4390 0.3559 0.6926 x2  4 O 1.49-1.64
H 0.2565 0.0681 0.3550 x2  1 H 0.77
H 0.3450 0.0842 0.3637 x2  1 H 0.77
H 0.3902 0.3021 0.0992 x2  1 H 0.77
H 0.4292 0.2374 0.1468 x2  1 H 0.77
O 0.0299 0.3291 0.8162 x2  2 P 1.64
O 0.0312 0.6383 0.7421 x2  1 P 1.50
O 0.0477 0.6850 0.4100 x2  1 P 1.50
O 0.1386 0.9006 0.2174 x2  1 P 1.49
O 0.1554 0.1169 0.6858 x2  2 P 1.63
O 0.1969 0.4992 0.9265 x2  1 P 1.49
O 0.2018 0.9856 0.9129 x2  1 P 1.50
O 0.2726 0.4688 0.6909 x2  2 P 1.63-1.64
O 0.3865 0.2023 0.8006 x2  2 P 1.63
O 0.3928 0.9240 0.7219 x2  1 P 1.49
O 0.4308 0.5595 0.2558 x2  1 P 1.49
O 0.4617 0.3056 0.5643 x2  1 P 1.49